A relaxed NaMnCl2O crystal, computed with PBE with a Hubbard U.

a b c (Å): 5.1061 5.1061 3.7157
angles (deg): 90.00 90.00 90.00
With the nearest neighbours (Å) after each atom.
Element x y z (fractional)
O (0.0000, 0.0000, 0.5000)  2 Mn 1.86
Mn (0.0000, 0.0000, 0.0000)  2 O 1.86
Cl (0.0000, 0.5000, 0.0000)  2 Mn 2.55
Cl (0.5000, 0.0000, 0.0000)  2 Mn 2.55
Na (0.5000, 0.5000, 0.5000)  8 Cl 3.16

## Properties
**Uncorrected energy**: -0.352 Ry/atom
**Mass density**: 2.83 Mg/m³
**Crystal system**: tetragonal
**Density of states at the Fermi level**: 2.020 states/eV/cell

A relaxed RbNa2Mn3P4ClO14 crystal, computed with PBE with a Hubbard U.

a b c (Å): 5.3076 11.0748 13.1055
angles (deg): 70.41 78.32 76.14
With the nearest neighbours (Å) after each atom.
Element x y z (fractional)
P (0.8558, 0.8217, 0.4939)  4 O 1.53-1.64
P (0.8750, 0.0660, 0.1723)  4 O 1.52-1.64
P (0.1442, 0.1783, 0.5061)  4 O 1.53-1.64
P (0.1250, 0.9340, 0.8277)  4 O 1.52-1.64
P (0.1133, 0.4340, 0.3277)  4 O 1.52-1.64
P (0.8287, 0.3217, 0.9939)  4 O 1.53-1.64
P (0.1713, 0.6783, 0.0061)  4 O 1.53-1.64
P (0.8867, 0.5660, 0.6723)  4 O 1.52-1.64
O (0.1361, 0.6107, 0.9273)  1 P 1.53
O (0.6741, 0.8893, 0.5727)  1 P 1.53
O (0.3259, 0.1107, 0.4273)  1 P 1.53
O (0.0153, 0.3507, 0.8855)  1 P 1.54
O (0.1412, 0.8381, 0.4778)  1 P 1.53
O (0.8588, 0.1619, 0.5222)  1 P 1.53
O (0.0426, 0.0870, 0.2457)  1 P 1.54
O (0.3753, 0.4130, 0.2543)  1 P 1.54
O (0.5430, 0.3381, 0.9778)  1 P 1.53
O (0.7485, 0.8507, 0.3855)  1 P 1.54
O (0.1539, 0.3334, 0.4498)  2 P 1.64
O (0.0630, 0.8334, 0.9498)  2 P 1.64
O (0.5812, 0.1007, 0.2100)  1 P 1.53
O (0.4570, 0.6619, 0.0222)  1 P 1.53
O (0.8918, 0.3993, 0.2900)  1 P 1.53
O (0.9370, 0.1666, 0.0502)  2 P 1.64
O (0.9577, 0.9360, 0.1477)  1 P 1.52
O (0.1082, 0.6007, 0.7100)  1 P 1.53
O (0.9574, 0.9130, 0.7543)  1 P 1.54
O (0.4188, 0.8993, 0.7900)  1 P 1.53
O (0.0414, 0.5640, 0.3523)  1 P 1.52
O (0.9847, 0.6493, 0.1145)  1 P 1.54
O (0.8461, 0.6666, 0.5502)  2 P 1.64
O (0.6247, 0.5870, 0.7457)  1 P 1.54
O (0.9586, 0.4360, 0.6477)  1 P 1.52
O (0.2515, 0.1493, 0.6145)  1 P 1.54
O (0.0423, 0.0640, 0.8523)  1 P 1.52
O (0.8639, 0.3893, 0.0727)  1 P 1.53
Mn (0.6443, 0.0311, 0.6540)  5 O 2.13-2.24
Mn (0.3294, 0.4689, 0.8460)  5 O 2.13-2.24
Mn (0.6706, 0.5311, 0.1540)  5 O 2.13-2.24
Mn (0.9441, 0.7500, 0.2500)  2 O 2.06
Mn (0.0559, 0.2500, 0.7500)  2 O 2.06
Mn (0.3557, 0.9689, 0.3460)  5 O 2.13-2.24
Rb (0.5000, 0.0000, 0.0000)  10 O 3.18-3.56, 2 Cl 3.52
Rb (0.5000, 0.5000, 0.5000)  10 O 3.18-3.56, 2 Cl 3.52
Na (0.2555, 0.2872, 0.1534)  5 O 2.36-2.55
Na (0.3039, 0.7872, 0.6534)  5 O 2.36-2.55
Na (0.6961, 0.2128, 0.3466)  5 O 2.36-2.55
Na (0.7445, 0.7128, 0.8466)  5 O 2.36-2.55
Cl (0.4590, 0.7500, 0.2500)  2 Mn 2.57-2.73
Cl (0.5410, 0.2500, 0.7500)  2 Mn 2.57-2.73

## Properties
**Uncorrected energy**: -0.509 Ry/atom
**Mass density**: 3.23 Mg/m³
**Crystal system**: monoclinic
**Density of states at the Fermi level**: 0.000 states/eV/cell

- Look up the mass density of the first one.
  2.83 Mg/m³